Record 1
The following is a PBE calculation of a relaxed structure of PrDy5Y, from the Alexandria database.

Cell and atoms, written as CIF:
```
data_PrDy5Y
_space_group_name_H-M_alt 'I m m m'
_space_group_IT_number 71
_space_group_name_Hall '-I 2 2'
_cell_length_a 5.794
_cell_length_b 8.666
_cell_length_c 11.842
_cell_angle_alpha 90.00
_cell_angle_beta 90.00
_cell_angle_gamma 90.00
loop_
_atom_site_label
_atom_site_fract_x
_atom_site_fract_y
_atom_site_fract_z
Pr1 0.000 0.000 0.000
Dy1 0.000 0.000 0.252
Dy2 0.000 0.321 0.500
Dy3 0.000 0.500 0.000
Y1 0.000 0.000 0.500
```

Computed properties:
- Fermi-level density of states (states/eV per cell) = 19.085
- ΔE to the lowest computed polymorph (kJ/mol of formula units) = 625
- theoretical density (Mg/m³) = 5.8
- total energy (eV per atom) = -3.783

=====

Record 2
The following is a PBE calculation of a relaxed structure of Dy4TlAu2, from the Alexandria database.

Cell and atoms, written as CIF:
```
data_Dy4TlAu2
_space_group_name_H-M_alt 'R -3 m'
_space_group_IT_number 166
_space_group_name_Hall '-R 3 2"'
_cell_length_a 4.8645
_cell_length_b 4.8645
_cell_length_c 29.4265
_cell_angle_alpha 90.00
_cell_angle_beta 90.00
_cell_angle_gamma 120.00
loop_
_atom_site_label
_atom_site_fract_x
_atom_site_fract_y
_atom_site_fract_z
Dy1 0.0000 0.0000 0.1174
Dy2 0.0000 0.0000 0.2975
Tl1 0.0000 0.0000 0.5000
Au1 0.0000 0.0000 0.3974
```

Computed properties:
- Fermi-level density of states (states/eV per cell) = 24.234
- theoretical density (Mg/m³) = 10.3
- total energy (eV per atom) = -4.326

=====

DFT formation energy for every record listed, in sequence, given in eV/atom: 1.1109 -0.4215.
Magnetic moment for every record listed, in sequence, given in μB/f.u.: 0.00 0.00.